VASP calculation (PBE-GGA) on crystalline LiTh2Sn2Hg4 at its relaxed geometry.

a b c (Å): 6.873 6.873 6.873
angles (deg): 122.13 122.13 86.35
Fractional positions:
Li 0.000 0.000 0.000
Th 0.250 0.750 0.500
Th 0.750 0.250 0.500
Sn 0.267 0.267 0.000
Sn 0.733 0.733 0.000
Hg 0.270 0.270 0.540
Hg 0.270 0.730 0.000
Hg 0.730 0.270 0.000
Hg 0.730 0.730 0.460

Values from the calculation:
Calculated formation energy in eV per atom: -0.309
Raw total energy in eV for the cell shown: -28.7
Space-group type: I4/mmm (139)